1.
DFT (PBE) results for a geometry-optimized KRbNd structure.

abc: 8.8419 8.8419 7.0759
angles: 90.00 90.00 120.00
Positions (direct):
K (0.0000, 0.0000, 0.0000)
K (0.3333, 0.6667, 0.5000)
K (0.6667, 0.3333, 0.5000)
Rb (0.0000, 0.2458, 0.5000)
Rb (0.2458, 0.0000, 0.5000)
Rb (0.7542, 0.7542, 0.5000)
Nd (0.0000, 0.5279, 0.0000)
Nd (0.4721, 0.4721, 0.0000)
Nd (0.5279, 0.0000, 0.0000)

Values from the calculation:
As for the space group: P-62m. The calculated total energy is -1.5891 eV/atom.

2.
DFT (PBE) results for a geometry-optimized KRbNd structure.

abc: 9.4716 9.4716 9.4716
angles: 90.00 90.00 90.00
Positions (direct):
K (0.0000, 0.0000, 0.0000)
K (0.0000, 0.5000, 0.5000)
K (0.5000, 0.0000, 0.5000)
K (0.5000, 0.5000, 0.0000)
Rb (0.2500, 0.2500, 0.2500)
Rb (0.2500, 0.7500, 0.7500)
Rb (0.7500, 0.2500, 0.7500)
Rb (0.7500, 0.7500, 0.2500)
Nd (0.2500, 0.2500, 0.7500)
Nd (0.2500, 0.7500, 0.2500)
Nd (0.7500, 0.2500, 0.2500)
Nd (0.7500, 0.7500, 0.7500)

Values from the calculation:
As for the space group: F-43m. The calculated total energy is -1.2962 eV/atom.

3.
DFT (PBE) results for a geometry-optimized KNdRe structure.

abc: 7.0833 7.0833 7.0833
angles: 90.00 90.00 90.00
Positions (direct):
K (0.0000, 0.0000, 0.0000)
K (0.0000, 0.5000, 0.5000)
K (0.5000, 0.0000, 0.5000)
K (0.5000, 0.5000, 0.0000)
Nd (0.2500, 0.2500, 0.7500)
Nd (0.2500, 0.7500, 0.2500)
Nd (0.7500, 0.2500, 0.2500)
Nd (0.7500, 0.7500, 0.7500)
Re (0.2500, 0.2500, 0.2500)
Re (0.2500, 0.7500, 0.7500)
Re (0.7500, 0.2500, 0.7500)
Re (0.7500, 0.7500, 0.2500)

Values from the calculation:
As for the space group: F-43m. The calculated total energy is -3.9467 eV/atom.

4.
DFT (PBE) results for a geometry-optimized KNdReS4 structure.

abc: 6.6435 6.6120 8.7511
angles: 90.00 108.52 90.00
Positions (direct):
K (0.2489, 0.0000, 0.4436)
K (0.7511, 0.5000, 0.5564)
Nd (0.2753, 0.9916, 0.9541)
Nd (0.7247, 0.4916, 0.0459)
Re (0.2424, 0.4849, 0.1625)
Re (0.7576, 0.9849, 0.8375)
S (0.0484, 0.6124, 0.9146)
S (0.0776, 0.5331, 0.3458)
S (0.4975, 0.7349, 0.2190)
S (0.4970, 0.7465, 0.7858)
S (0.5025, 0.2349, 0.7810)
S (0.5030, 0.2465, 0.2142)
S (0.9224, 0.0331, 0.6542)
S (0.9516, 0.1124, 0.0854)

Values from the calculation:
As for the space group: P2_1. The calculated total energy is -5.9823 eV/atom.

Question: The lowest calculated total energy belongs to which entry?
Answer: KNdReS4